## PmHoI6 (GGA-PBE)

Data for crystalline PmHoI6 at its relaxed geometry.

Computed properties:
- ΔE_f (raw): -1334 meV per atom
- ΔE to the lowest computed polymorph: 41 meV per atom
- E: -3.66 eV per atom

a b c (Å): 8.240 8.240 8.240
angles (deg): 55.57 55.57 55.57
Fractional positions:
Pm 0.000 0.000 0.000
Ho 0.500 0.500 0.500
I 0.093 0.415 0.745
I 0.255 0.907 0.585
I 0.415 0.745 0.093
I 0.585 0.255 0.907
I 0.745 0.093 0.415
I 0.907 0.585 0.255


## Pm2HoI (GGA-PBE)

Data for crystalline Pm2HoI at its relaxed geometry.

Computed properties:
- ΔE_f (raw): -87 meV per atom
- ΔE to the lowest computed polymorph: 296 meV per atom
- E: -3.99 eV per atom

a b c (Å): 11.995 11.995 11.995
angles (deg): 17.44 17.44 17.44
Fractional positions:
Pm 0.095 0.095 0.095
Pm 0.905 0.905 0.905
Ho 0.000 0.000 0.000
I 0.500 0.500 0.500


## PmHo2I (GGA-PBE)

Data for crystalline PmHo2I at its relaxed geometry.

Computed properties:
- ΔE_f (raw): -311 meV per atom
- ΔE to the lowest computed polymorph: 35 meV per atom
- E: -4.18 eV per atom

a b c (Å): 10.729 10.729 10.729
angles (deg): 20.21 20.21 20.21
Fractional positions:
Pm 0.000 0.000 0.000
Ho 0.578 0.578 0.578
Ho 0.756 0.756 0.756
I 0.167 0.167 0.167


## PmHoI4 (GGA-PBE)

Data for crystalline PmHoI4 at its relaxed geometry.

Computed properties:
- ΔE_f (raw): -1232 meV per atom
- E: -3.82 eV per atom

a b c (Å): 7.236 4.158 8.373
angles (deg): 90.00 106.13 90.00
Fractional positions:
Pm 0.000 0.000 0.000
Ho 0.500 0.500 0.000
I 0.257 0.500 0.250
I 0.263 0.000 0.757
I 0.737 0.000 0.243
I 0.743 0.500 0.750


## Pm2HoI (GGA-PBE)

Data for crystalline Pm2HoI at its relaxed geometry.

Computed properties:
- ΔE_f (raw): -383 meV per atom
- ΔE to the lowest computed polymorph: 0 meV per atom
- E: -4.29 eV per atom

a b c (Å): 10.849 10.849 10.849
angles (deg): 20.24 20.24 20.24
Fractional positions:
Pm 0.000 0.000 0.000
Pm 0.175 0.175 0.175
Ho 0.754 0.754 0.754
I 0.587 0.587 0.587


## Pm2HoI (GGA-PBE)

Data for crystalline Pm2HoI at its relaxed geometry.

Computed properties:
- ΔE_f (raw): -334 meV per atom
- ΔE to the lowest computed polymorph: 49 meV per atom
- E: -4.24 eV per atom

a b c (Å): 3.684 3.684 9.655
angles (deg): 90.00 90.00 90.00
Fractional positions:
Pm 0.000 0.000 0.243
Pm 0.000 0.000 0.757
Ho 0.500 0.500 0.500
I 0.500 0.500 0.000


## PmHo2I6 (GGA-PBE)

Data for crystalline PmHo2I6 at its relaxed geometry.

Computed properties:
- ΔE_f (raw): -1152 meV per atom
- E: -3.73 eV per atom

a b c (Å): 8.259 8.259 8.259
angles (deg): 54.64 54.64 54.64
Fractional positions:
Pm 0.000 0.000 0.000
Ho 0.670 0.670 0.670
Ho 0.835 0.835 0.835
I 0.096 0.733 0.428
I 0.257 0.569 0.920
I 0.428 0.096 0.733
I 0.569 0.920 0.257
I 0.733 0.428 0.096
I 0.920 0.257 0.569


## PmHoPtI (GGA-PBE)

Data for crystalline PmHoPtI at its relaxed geometry.

Computed properties:
- ΔE_f (raw): -1112 meV per atom
- E: -5.34 eV per atom

a b c (Å): 8.361 8.361 8.361
angles (deg): 29.00 29.00 29.00
Fractional positions:
Pm 0.000 0.000 0.000
Ho 0.211 0.211 0.211
Pt 0.602 0.602 0.602
I 0.775 0.775 0.775


## PmHoSI (GGA-PBE)

Data for crystalline PmHoSI at its relaxed geometry.

Computed properties:
- ΔE_f (raw): -1371 meV per atom
- E: -5.12 eV per atom

a b c (Å): 3.955 3.955 8.105
angles (deg): 104.05 104.05 60.03
Fractional positions:
Pm 0.000 0.000 0.000
Ho 0.795 0.795 0.387
S 0.402 0.402 0.206
I 0.226 0.226 0.679


## Pr2HoI8 (GGA-PBE)

Data for crystalline Pr2HoI8 at its relaxed geometry.

Computed properties:
- ΔE_f (raw): -1134 meV per atom
- E: -3.55 eV per atom

a b c (Å): 8.563 8.563 6.907
angles (deg): 100.20 100.20 113.25
Fractional positions:
Pr 0.193 0.807 0.000
Pr 0.807 0.193 0.000
Ho 0.500 0.500 0.500
I 0.144 0.144 0.310
I 0.158 0.418 0.891
I 0.289 0.711 0.500
I 0.418 0.158 0.891
I 0.582 0.842 0.109
I 0.711 0.289 0.500
I 0.842 0.582 0.109
I 0.856 0.856 0.690


## PrHo2I8 (GGA-PBE)

Data for crystalline PrHo2I8 at its relaxed geometry.

Computed properties:
- ΔE_f (raw): -1223 meV per atom
- E: -3.62 eV per atom

a b c (Å): 9.503 9.503 7.405
angles (deg): 90.93 90.93 68.22
Fractional positions:
Pr 0.000 0.000 0.000
Ho 0.174 0.174 0.634
Ho 0.826 0.826 0.366
I 0.139 0.703 0.244
I 0.175 0.175 0.237
I 0.297 0.861 0.756
I 0.346 0.346 0.744
I 0.654 0.654 0.256
I 0.703 0.139 0.244
I 0.825 0.825 0.763
I 0.861 0.297 0.756


## PrHoI (GGA-PBE)

Data for crystalline PrHoI at its relaxed geometry.

Computed properties:
- ΔE_f (raw): -453 meV per atom
- ΔE to the lowest computed polymorph: 0 meV per atom
- E: -4.09 eV per atom

a b c (Å): 9.869 9.869 5.603
angles (deg): 90.00 90.00 158.14
Fractional positions:
Pr 0.131 0.869 0.750
Pr 0.869 0.131 0.250
Ho 0.470 0.530 0.750
Ho 0.530 0.470 0.250
I 0.309 0.691 0.750
I 0.691 0.309 0.250


## Pr3Ho5I12 (GGA-PBE)

Data for crystalline Pr3Ho5I12 at its relaxed geometry.

Computed properties:
- ΔE_f (raw): -620 meV per atom
- E: -3.41 eV per atom

a b c (Å): 15.861 15.861 15.861
angles (deg): 109.47 109.47 109.47
Fractional positions:
Pr 0.125 0.250 0.375
Pr 0.125 0.375 0.750
Pr 0.250 0.375 0.125
Pr 0.250 0.875 0.625
Pr 0.375 0.125 0.250
Pr 0.375 0.750 0.125
Pr 0.625 0.250 0.875
Pr 0.625 0.875 0.750
Pr 0.750 0.125 0.375
Pr 0.750 0.625 0.875
Pr 0.875 0.625 0.250
Pr 0.875 0.750 0.625
Ho 0.000 0.000 0.000
Ho 0.000 0.000 0.500
Ho 0.000 0.500 0.000
Ho 0.000 0.500 0.500
Ho 0.125 0.750 0.875
Ho 0.125 0.875 0.250
Ho 0.250 0.125 0.875
Ho 0.250 0.625 0.375
Ho 0.375 0.250 0.625
Ho 0.375 0.625 0.750
Ho 0.500 0.000 0.000
Ho 0.500 0.000 0.500
Ho 0.500 0.500 0.000
Ho 0.500 0.500 0.500
Ho 0.625 0.375 0.250
Ho 0.625 0.750 0.375
Ho 0.750 0.375 0.625
Ho 0.750 0.875 0.125
Ho 0.875 0.125 0.750
Ho 0.875 0.250 0.125
I 0.051 0.221 0.131
I 0.051 0.330 0.920
I 0.080 0.631 0.410
I 0.080 0.949 0.670
I 0.090 0.721 0.670
I 0.090 0.869 0.420
I 0.131 0.051 0.221
I 0.131 0.580 0.910
I 0.170 0.221 0.590
I 0.170 0.449 0.580
I 0.221 0.131 0.051
I 0.221 0.590 0.170
I 0.279 0.330 0.910
I 0.279 0.449 0.369
I 0.330 0.910 0.279
I 0.330 0.920 0.051
I 0.369 0.279 0.449
I 0.369 0.590 0.920
I 0.410 0.080 0.631
I 0.410 0.830 0.779
I 0.420 0.090 0.869
I 0.420 0.830 0.551
I 0.449 0.369 0.279
I 0.449 0.580 0.170
I 0.551 0.420 0.830
I 0.551 0.631 0.721
I 0.580 0.170 0.449
I 0.580 0.910 0.131
I 0.590 0.170 0.221
I 0.590 0.920 0.369
I 0.631 0.410 0.080
I 0.631 0.721 0.551
I 0.670 0.080 0.949
I 0.670 0.090 0.721
I 0.721 0.551 0.631
I 0.721 0.670 0.090
I 0.779 0.410 0.830
I 0.779 0.869 0.949
I 0.830 0.551 0.420
I 0.830 0.779 0.410
I 0.869 0.420 0.090
I 0.869 0.949 0.779
I 0.910 0.131 0.580
I 0.910 0.279 0.330
I 0.920 0.051 0.330
I 0.920 0.369 0.590
I 0.949 0.670 0.080
I 0.949 0.779 0.869


## PrHo2I (GGA-PBE)

Data for crystalline PrHo2I at its relaxed geometry.

Computed properties:
- ΔE_f (raw): -351 meV per atom
- ΔE to the lowest computed polymorph: 0 meV per atom
- E: -4.22 eV per atom

a b c (Å): 10.772 10.772 10.772
angles (deg): 20.06 20.06 20.06
Fractional positions:
Pr 0.000 0.000 0.000
Ho 0.245 0.245 0.245
Ho 0.755 0.755 0.755
I 0.500 0.500 0.500


## PrHo2I (GGA-PBE)

Data for crystalline PrHo2I at its relaxed geometry.

Computed properties:
- ΔE_f (raw): -304 meV per atom
- ΔE to the lowest computed polymorph: 47 meV per atom
- E: -4.17 eV per atom

a b c (Å): 10.806 10.806 10.806
angles (deg): 20.10 20.10 20.10
Fractional positions:
Pr 0.000 0.000 0.000
Ho 0.243 0.243 0.243
Ho 0.423 0.423 0.423
I 0.833 0.833 0.833


## PrHoI (GGA-PBE)

Data for crystalline PrHoI at its relaxed geometry.

Computed properties:
- ΔE_f (raw): -188 meV per atom
- ΔE to the lowest computed polymorph: 265 meV per atom
- E: -3.82 eV per atom

a b c (Å): 5.455 5.455 3.876
angles (deg): 90.00 90.00 120.00
Fractional positions:
Pr 0.000 0.000 0.000
Ho 0.333 0.667 0.482
I 0.667 0.333 0.364


## PrHoI2 (GGA-PBE)

Data for crystalline PrHoI2 at its relaxed geometry.

Computed properties:
- ΔE_f (raw): -716 meV per atom
- ΔE to the lowest computed polymorph: 40 meV per atom
- E: -3.83 eV per atom

a b c (Å): 11.041 11.041 11.041
angles (deg): 20.43 20.43 20.43
Fractional positions:
Pr 0.000 0.000 0.000
Ho 0.500 0.500 0.500
I 0.406 0.406 0.406
I 0.594 0.594 0.594


## PrHoI2 (GGA-PBE)

Data for crystalline PrHoI2 at its relaxed geometry.

Computed properties:
- ΔE_f (raw): -756 meV per atom
- ΔE to the lowest computed polymorph: 0 meV per atom
- E: -3.87 eV per atom

a b c (Å): 10.063 10.063 10.063
angles (deg): 21.95 21.95 21.95
Fractional positions:
Pr 0.000 0.000 0.000
Ho 0.163 0.163 0.163
I 0.579 0.579 0.579
I 0.750 0.750 0.750


## Pr2HoI6 (GGA-PBE)

Data for crystalline Pr2HoI6 at its relaxed geometry.

Computed properties:
- ΔE_f (raw): -1156 meV per atom
- E: -3.76 eV per atom

a b c (Å): 7.935 7.935 12.178
angles (deg): 90.00 90.00 90.00
Fractional positions:
Pr 0.000 0.000 0.156
Pr 0.000 0.000 0.844
Pr 0.500 0.500 0.344
Pr 0.500 0.500 0.656
Ho 0.000 0.000 0.500
Ho 0.500 0.500 0.000
I 0.209 0.209 0.337
I 0.209 0.209 0.663
I 0.228 0.228 0.000
I 0.272 0.728 0.500
I 0.291 0.709 0.163
I 0.291 0.709 0.837
I 0.709 0.291 0.163
I 0.709 0.291 0.837
I 0.728 0.272 0.500
I 0.772 0.772 0.000
I 0.791 0.791 0.337
I 0.791 0.791 0.663


## PrHoRhI (GGA-PBE)

Data for crystalline PrHoRhI at its relaxed geometry.

Computed properties:
- ΔE_f (raw): -932 meV per atom
- E: -5.50 eV per atom

a b c (Å): 8.432 8.432 8.432
angles (deg): 28.28 28.28 28.28
Fractional positions:
Pr 0.000 0.000 0.000
Ho 0.211 0.211 0.211
Rh 0.602 0.602 0.602
I 0.775 0.775 0.775